Entry 1:
# PBE Li21Cd5, relaxed
# SG	F-43m, No. 216
# final energy	-189.83	eV/cell
data_Li21Cd5
_chemical_formula_sum 'Li84 Cd20'
_space_group_name_H-M_alt 'P 1'
_space_group_IT_number 1
_space_group_name_Hall 'P 1'
_cell_length_a 13.5362
_cell_length_b 13.5362
_cell_length_c 13.5362
_cell_angle_alpha 59.98
_cell_angle_beta 59.98
_cell_angle_gamma 59.98
loop_
_atom_site_label
_atom_site_type_symbol
_atom_site_fract_x
_atom_site_fract_y
_atom_site_fract_z
Li1 Li 0.9438 0.5808 0.2376
Li2 Li 0.7389 0.7389 0.4429
Li3 Li 0.4890 0.1883 0.8337
Li4 Li 0.9870 0.6995 0.9870
Li5 Li 0.4246 0.0755 0.0755
Li6 Li 0.4890 0.1883 0.4890
Li7 Li 0.1719 0.9427 0.9427
Li8 Li 0.6762 0.3238 0.6762
Li9 Li 0.8356 0.4931 0.8356
Li10 Li 0.4429 0.0792 0.7390
Li11 Li 0.6790 0.4403 0.4403
Li12 Li 0.0876 0.0876 0.0876
Li13 Li 0.0876 0.7372 0.0876
Li14 Li 0.4931 0.8356 0.8356
Li15 Li 0.9339 0.6887 0.6887
Li16 Li 0.0755 0.4246 0.0755
Li17 Li 0.6762 0.6762 0.3238
Li18 Li 0.8337 0.4890 0.4890
Li19 Li 0.1935 0.1935 0.4196
Li20 Li 0.3238 0.3238 0.6762
Li21 Li 0.1883 0.4890 0.4890
Li22 Li 0.2376 0.5808 0.9438
Li23 Li 0.3265 0.9871 0.6993
Li24 Li 0.7389 0.4429 0.7389
Li25 Li 0.4196 0.1935 0.1935
Li26 Li 0.9427 0.9427 0.1719
Li27 Li 0.7390 0.0792 0.4429
Li28 Li 0.9870 0.9870 0.6995
Li29 Li 0.2377 0.5808 0.2377
Li30 Li 0.4403 0.4403 0.4403
Li31 Li 0.8337 0.1883 0.4890
Li32 Li 0.4890 0.8337 0.4890
Li33 Li 0.2376 0.9438 0.5808
Li34 Li 0.9871 0.3265 0.6993
Li35 Li 0.7389 0.0793 0.7389
Li36 Li 0.0792 0.7390 0.4429
Li37 Li 0.4429 0.7390 0.0792
Li38 Li 0.3238 0.6762 0.6762
Li39 Li 0.4890 0.4890 0.1883
Li40 Li 0.0876 0.0876 0.7372
Li41 Li 0.6887 0.9339 0.6887
Li42 Li 0.6993 0.3265 0.9871
Li43 Li 0.9427 0.1719 0.9427
Li44 Li 0.6995 0.9870 0.9870
Li45 Li 0.9438 0.2377 0.2377
Li46 Li 0.9428 0.9428 0.9428
Li47 Li 0.0755 0.4245 0.4245
Li48 Li 0.0755 0.0755 0.4246
Li49 Li 0.4403 0.4403 0.6790
Li50 Li 0.6887 0.6887 0.6887
Li51 Li 0.0792 0.4429 0.7390
Li52 Li 0.6993 0.9871 0.3265
Li53 Li 0.2377 0.9438 0.2377
Li54 Li 0.2377 0.2377 0.9438
Li55 Li 0.1935 0.1935 0.1935
Li56 Li 0.9871 0.3264 0.9871
Li57 Li 0.8356 0.8356 0.8356
Li58 Li 0.1883 0.4890 0.8337
Li59 Li 0.4890 0.8337 0.1883
Li60 Li 0.5808 0.2376 0.9438
Li61 Li 0.6887 0.6887 0.9339
Li62 Li 0.8337 0.4890 0.1883
Li63 Li 0.7389 0.7389 0.0793
Li64 Li 0.7390 0.4429 0.0792
Li65 Li 0.9871 0.6993 0.3265
Li66 Li 0.5808 0.2377 0.2377
Li67 Li 0.0793 0.7389 0.7389
Li68 Li 0.1883 0.8337 0.4890
Li69 Li 0.3264 0.9871 0.9871
Li70 Li 0.4890 0.4890 0.8337
Li71 Li 0.6762 0.3238 0.3238
Li72 Li 0.8356 0.8356 0.4931
Li73 Li 0.4429 0.7389 0.7389
Li74 Li 0.3238 0.6762 0.3238
Li75 Li 0.4403 0.6790 0.4403
Li76 Li 0.3265 0.6993 0.9871
Li77 Li 0.9871 0.9871 0.3265
Li78 Li 0.1935 0.4196 0.1935
Li79 Li 0.4245 0.4245 0.0755
Li80 Li 0.9438 0.2376 0.5808
Li81 Li 0.2377 0.2377 0.5808
Li82 Li 0.7372 0.0876 0.0876
Li83 Li 0.5808 0.9438 0.2376
Li84 Li 0.4245 0.0755 0.4245
Cd1 Cd 0.3395 0.3395 0.9816
Cd2 Cd 0.3395 0.3395 0.3395
Cd3 Cd 0.5881 0.2357 0.5881
Cd4 Cd 0.1766 0.1766 0.8234
Cd5 Cd 0.8234 0.1766 0.1766
Cd6 Cd 0.5721 0.9279 0.9279
Cd7 Cd 0.8234 0.1767 0.8234
Cd8 Cd 0.2357 0.5881 0.5881
Cd9 Cd 0.9279 0.5721 0.9279
Cd10 Cd 0.3395 0.9816 0.3395
Cd11 Cd 0.5721 0.5721 0.9278
Cd12 Cd 0.1767 0.8234 0.8234
Cd13 Cd 0.9816 0.3395 0.3395
Cd14 Cd 0.8234 0.8234 0.1767
Cd15 Cd 0.5721 0.9278 0.5721
Cd16 Cd 0.5881 0.5881 0.2357
Cd17 Cd 0.1766 0.8234 0.1766
Cd18 Cd 0.9278 0.5721 0.5721
Cd19 Cd 0.9279 0.9279 0.5721
Cd20 Cd 0.5881 0.5881 0.5881

***

Entry 2:
# PBE BeBiPt, relaxed
# energy above the most stable polymorph in this dataset	0.00	eV/f.u.
# total magnetic moment	0.0	μB/f.u.
# SG	F-43m, No. 216
# final energy	-13.69	eV/cell
data_BeBiPt
_chemical_formula_sum 'Be1 Bi1 Pt1'
_space_group_name_H-M_alt 'P 1'
_space_group_IT_number 1
_space_group_name_Hall 'P 1'
_cell_length_a 4.2752
_cell_length_b 4.2752
_cell_length_c 4.2752
_cell_angle_alpha 60.00
_cell_angle_beta 60.00
_cell_angle_gamma 60.00
loop_
_atom_site_label
_atom_site_type_symbol
_atom_site_fract_x
_atom_site_fract_y
_atom_site_fract_z
Be1 Be 0.0000 0.0000 0.0000
Bi1 Bi 0.2500 0.2500 0.2500
Pt1 Pt 0.7500 0.7500 0.7500

***

Entry 3:
# PBE SrNiBiAu, relaxed
# energy above the most stable polymorph in this dataset	0.91	eV/f.u.
# total magnetic moment	0.3	μB/f.u.
# SG	F-43m, No. 216
# final energy	-14.35	eV/cell
data_SrNiBiAu
_chemical_formula_sum 'Sr1 Ni1 Bi1 Au1'
_space_group_name_H-M_alt 'P 1'
_space_group_IT_number 1
_space_group_name_Hall 'P 1'
_cell_length_a 5.1118
_cell_length_b 5.1118
_cell_length_c 5.1118
_cell_angle_alpha 60.00
_cell_angle_beta 60.00
_cell_angle_gamma 60.00
loop_
_atom_site_label
_atom_site_type_symbol
_atom_site_fract_x
_atom_site_fract_y
_atom_site_fract_z
Bi1 Bi 0.0000 0.0000 0.0000
Au1 Au 0.7500 0.7500 0.7500
Ni1 Ni 0.5000 0.5000 0.5000
Sr1 Sr 0.2500 0.2500 0.2500

***

Entry 4:
# PBE Li5Co3As3, relaxed
# total magnetic moment	0.0	μB/f.u.
# SG	P-62m, No. 189
# final energy	-43.98	eV/cell
data_Li5Co3As3
_chemical_formula_sum 'Li5 Co3 As3'
_space_group_name_H-M_alt 'P 1'
_space_group_IT_number 1
_space_group_name_Hall 'P 1'
_cell_length_a 8.1429
_cell_length_b 8.1429
_cell_length_c 2.9530
_cell_angle_alpha 90.00
_cell_angle_beta 90.00
_cell_angle_gamma 120.00
loop_
_atom_site_label
_atom_site_type_symbol
_atom_site_fract_x
_atom_site_fract_y
_atom_site_fract_z
Co1 Co 0.4527 0.4527 0.0000
Co2 Co 0.0000 0.5473 0.0000
Co3 Co 0.5473 0.0000 0.0000
As1 As 0.3437 0.0000 0.5000
As2 As 0.6563 0.6563 0.5000
As3 As 0.0000 0.3437 0.5000
Li1 Li 0.8004 0.0000 0.5000
Li2 Li 0.1996 0.1996 0.5000
Li3 Li 0.3333 0.6667 0.5000
Li4 Li 0.6667 0.3333 0.5000
Li5 Li 0.0000 0.8004 0.5000

***

Which of these has the lowest final energy?
Li21Cd5

***

The highest final energy belongs to which entry?
BeBiPt

***

Which of these has the highest final energy?
BeBiPt

***

What did the third record say?
# PBE SrNiBiAu, relaxed
# energy above the most stable polymorph in this dataset	0.91	eV/f.u.
# total magnetic moment	0.3	μB/f.u.
# SG	F-43m, No. 216
# final energy	-14.35	eV/cell
data_SrNiBiAu
_chemical_formula_sum 'Sr1 Ni1 Bi1 Au1'
_space_group_name_H-M_alt 'P 1'
_space_group_IT_number 1
_space_group_name_Hall 'P 1'
_cell_length_a 5.1118
_cell_length_b 5.1118
_cell_length_c 5.1118
_cell_angle_alpha 60.00
_cell_angle_beta 60.00
_cell_angle_gamma 60.00
loop_
_atom_site_label
_atom_site_type_symbol
_atom_site_fract_x
_atom_site_fract_y
_atom_site_fract_z
Bi1 Bi 0.0000 0.0000 0.0000
Au1 Au 0.7500 0.7500 0.7500
Ni1 Ni 0.5000 0.5000 0.5000
Sr1 Sr 0.2500 0.2500 0.2500